First-principles (GGA-PBEsol) data for a relaxed SrLa2Pt2 crystal, as listed in the Alexandria database.

Lattice parameters (Å, degrees): 8.0961 8.0961 4.0320 90.00 90.00 90.00
Fractional positions:
Sr 0.0000 0.0000 0.0000
Sr 0.5000 0.5000 0.0000
La 0.1563 0.3437 0.5000
La 0.3437 0.8437 0.5000
La 0.6563 0.1563 0.5000
La 0.8437 0.6563 0.5000
Pt 0.1349 0.6349 0.0000
Pt 0.3651 0.1349 0.0000
Pt 0.6349 0.8651 0.0000
Pt 0.8651 0.3651 0.0000

The calculation puts the formation energy at -4.112 eV per formula unit.


First-principles (GGA-PBEsol) data for a relaxed SrLaPt crystal, as listed in the Alexandria database.

Lattice parameters (Å, degrees): 4.2542 4.2542 6.8914 90.00 90.00 120.00
Fractional positions:
Sr 0.0000 0.0000 0.0000
La 0.3333 0.6667 0.4636
Pt 0.6667 0.3333 0.2600

The distance to the lowest polymorph of the same formula comes out at 79 meV/atom. The calculation puts the formation energy at -1.907 eV per formula unit.


First-principles (GGA-PBEsol) data for a relaxed SrLaPt4 crystal, as listed in the Alexandria database.

Lattice parameters (Å, degrees): 5.4740 5.4740 5.4740 60.00 60.00 60.00
Fractional positions:
Sr 0.0000 0.0000 0.0000
La 0.2500 0.2500 0.2500
Pt 0.1246 0.6251 0.6251
Pt 0.6251 0.1246 0.6251
Pt 0.6251 0.6251 0.1246
Pt 0.6251 0.6251 0.6251

The calculation puts the formation energy at -5.769 eV per formula unit.


First-principles (GGA-PBEsol) data for a relaxed SrLaPt crystal, as listed in the Alexandria database.

Lattice parameters (Å, degrees): 4.3874 5.7413 8.4198 90.00 90.00 90.00
Fractional positions:
Sr 0.2500 0.2500 0.1250
Sr 0.7500 0.7500 0.8750
La 0.2500 0.2500 0.5954
La 0.7500 0.7500 0.4046
Pt 0.2500 0.7500 0.6329
Pt 0.7500 0.2500 0.3671

The distance to the lowest polymorph of the same formula comes out at 0 meV/atom. The calculation puts the formation energy at -2.143 eV per formula unit.


First-principles (GGA-PBEsol) data for a relaxed LaTaPt crystal, as listed in the Alexandria database.

Lattice parameters (Å, degrees): 3.3208 3.3208 6.8825 90.00 90.00 120.00
Fractional positions:
La 0.0000 0.0000 0.0000
Ta 0.6667 0.3333 0.3779
Pt 0.3333 0.6667 0.6348

The calculation puts the formation energy at 0.206 eV per formula unit.


First-principles (GGA-PBEsol) data for a relaxed La2TcPt crystal, as listed in the Alexandria database.

Lattice parameters (Å, degrees): 3.6122 3.6122 6.8654 90.00 90.00 90.00
Fractional positions:
La 0.0000 0.0000 0.2469
La 0.0000 0.0000 0.7531
Tc 0.5000 0.5000 0.0000
Pt 0.5000 0.5000 0.5000

The calculation puts the formation energy at -1.161 eV per formula unit.


First-principles (GGA-PBEsol) data for a relaxed La2TcPt crystal, as listed in the Alexandria database.

Lattice parameters (Å, degrees): 3.3684 4.6097 11.7308 90.00 90.00 90.00
Fractional positions:
La 0.0000 0.0000 0.0000
La 0.0000 0.5000 0.2112
La 0.5000 0.0000 0.7112
La 0.5000 0.5000 0.5000
Tc 0.0000 0.5000 0.7570
Tc 0.5000 0.0000 0.2570
Pt 0.0000 0.0000 0.4311
Pt 0.5000 0.5000 0.9311

The calculation puts the formation energy at -0.806 eV per formula unit.


First-principles (GGA-PBEsol) data for a relaxed LaTcPt4 crystal, as listed in the Alexandria database.

Lattice parameters (Å, degrees): 5.3316 5.3316 5.3316 60.00 60.00 60.00
Fractional positions:
La 0.0000 0.0000 0.0000
Tc 0.7500 0.7500 0.7500
Pt 0.3755 0.3755 0.3755
Pt 0.3755 0.3755 0.8734
Pt 0.3755 0.8734 0.3755
Pt 0.8734 0.3755 0.3755

The calculation puts the formation energy at -1.547 eV per formula unit.


First-principles (GGA-PBEsol) data for a relaxed LaTe2Pt crystal, as listed in the Alexandria database.

Lattice parameters (Å, degrees): 4.1382 4.2377 12.9549 90.00 90.00 90.00
Fractional positions:
La 0.0000 0.0000 0.0000
La 0.0000 0.5000 0.5000
Te 0.0000 0.0000 0.7132
Te 0.0000 0.5000 0.2132
Te 0.5000 0.0000 0.3902
Te 0.5000 0.5000 0.8902
Pt 0.5000 0.0000 0.5918
Pt 0.5000 0.5000 0.0918

The distance to the lowest polymorph of the same formula comes out at 0 meV/atom. The calculation puts the formation energy without anion corrections at -0.97 eV per atom.


First-principles (GGA-PBEsol) data for a relaxed LaTe2Pt crystal, as listed in the Alexandria database.

Lattice parameters (Å, degrees): 3.8457 3.8457 6.6184 90.00 90.00 90.00
Fractional positions:
La 0.0000 0.0000 0.0000
Te 0.5000 0.5000 0.2726
Te 0.5000 0.5000 0.7274
Pt 0.0000 0.0000 0.5000

The distance to the lowest polymorph of the same formula comes out at 545 meV/atom. The calculation puts the formation energy without anion corrections at -0.42 eV per atom.


First-principles (GGA-PBEsol) data for a relaxed La2TePt crystal, as listed in the Alexandria database.

Lattice parameters (Å, degrees): 7.4202 7.4292 3.7957 90.00 90.00 90.00
Fractional positions:
La 0.2500 0.2500 0.0000
La 0.2500 0.7500 0.0000
La 0.7500 0.2500 0.0000
La 0.7500 0.7500 0.0000
Te 0.0000 0.0000 0.5000
Te 0.5000 0.5000 0.5000
Pt 0.0000 0.5000 0.5000
Pt 0.5000 0.0000 0.5000

The calculation puts the formation energy without anion corrections at -1.09 eV per atom.


First-principles (GGA-PBEsol) data for a relaxed La2TePt crystal, as listed in the Alexandria database.

Lattice parameters (Å, degrees): 4.2353 4.2353 22.9690 90.00 90.00 120.00
Fractional positions:
La 0.0000 0.0000 0.2384
La 0.0000 0.0000 0.7616
La 0.3333 0.6667 0.4283
La 0.3333 0.6667 0.9050
La 0.6667 0.3333 0.0950
La 0.6667 0.3333 0.5717
Te 0.0000 0.0000 0.0000
Te 0.3333 0.6667 0.6667
Te 0.6667 0.3333 0.3333
Pt 0.0000 0.0000 0.5000
Pt 0.3333 0.6667 0.1667
Pt 0.6667 0.3333 0.8333

The calculation puts the formation energy without anion corrections at -1.30 eV per atom.


V across the listed records, respectively: 26.43 36.00 19.33 35.35 21.91 22.39 22.77 17.86 28.40 24.47 26.16 29.73 Å³ per atom.